Record 1
# Tc3SbAu GGA-PBE relaxed
# formation energy from raw total energies = 1.957 eV/atom
# calculated volume = 111 Å³ per cell
# energy above the most stable polymorph in this dataset = 0 meV/atom
data_Tc3SbAu
_chemical_formula_sum 'Tc3 Sb1 Au1'
_symmetry_space_group_name_H-M 'P m -3 m'
_symmetry_Int_Tables_number 221
_symmetry_space_group_name_Hall '-P 4 2 3'
_cell_length_a 4.804
_cell_length_b 4.804
_cell_length_c 4.804
_cell_angle_alpha 90.00
_cell_angle_beta 90.00
_cell_angle_gamma 90.00
loop_
_atom_site_label
_atom_site_fract_x
_atom_site_fract_y
_atom_site_fract_z
Tc1 0.000 0.000 0.500
Sb1 0.000 0.000 0.000
Au1 0.500 0.500 0.500

***

Record 2
# LaYSi GGA-PBE relaxed
# formation energy from raw total energies = -0.469 eV/atom
# calculated volume = 353 Å³ per cell
# energy above the most stable polymorph in this dataset = 45 meV/atom
data_LaYSi
_chemical_formula_sum 'La4 Y4 Si4'
_symmetry_space_group_name_H-M 'F -4 3 m'
_symmetry_Int_Tables_number 216
_symmetry_space_group_name_Hall 'F -4 2 3'
_cell_length_a 7.065
_cell_length_b 7.065
_cell_length_c 7.065
_cell_angle_alpha 90.00
_cell_angle_beta 90.00
_cell_angle_gamma 90.00
loop_
_atom_site_label
_atom_site_fract_x
_atom_site_fract_y
_atom_site_fract_z
La1 0.000 0.000 0.000
Y1 0.000 0.000 0.500
Si1 0.250 0.250 0.250

***

Record 3
# Y4TlFe GGA-PBE relaxed
# calculated volume = 686 Å³ per cell
# energy above the most stable polymorph in this dataset = 784 meV/atom
# formation enthalpy at 0 K = 0.63 eV per atom
data_Y4TlFe
_chemical_formula_sum 'Y16 Tl4 Fe4'
_symmetry_space_group_name_H-M 'F -4 3 m'
_symmetry_Int_Tables_number 216
_symmetry_space_group_name_Hall 'F -4 2 3'
_cell_length_a 8.817
_cell_length_b 8.817
_cell_length_c 8.817
_cell_angle_alpha 90.00
_cell_angle_beta 90.00
_cell_angle_gamma 90.00
loop_
_atom_site_label
_atom_site_fract_x
_atom_site_fract_y
_atom_site_fract_z
Y1 0.125 0.125 0.125
Tl1 0.000 0.000 0.500
Fe1 0.250 0.250 0.750

***

Record 4
# ZnCd2Ir GGA-PBE relaxed
# calculated volume = 69 Å³ per cell
# formation enthalpy at 0 K = 0.06 eV per atom
data_ZnCd2Ir
_chemical_formula_sum 'Zn1 Cd2 Ir1'
_symmetry_space_group_name_H-M 'P 4/m m m'
_symmetry_Int_Tables_number 123
_symmetry_space_group_name_Hall '-P 4 2'
_cell_length_a 4.067
_cell_length_b 4.067
_cell_length_c 4.157
_cell_angle_alpha 90.00
_cell_angle_beta 90.00
_cell_angle_gamma 90.00
loop_
_atom_site_label
_atom_site_fract_x
_atom_site_fract_y
_atom_site_fract_z
Zn1 0.000 0.000 0.000
Cd1 0.000 0.500 0.500
Ir1 0.500 0.500 0.000

***

Record 5
# TcRhBr2 GGA-PBE relaxed
# formation energy from raw total energies = 0.830 eV/atom
# calculated volume = 368 Å³ per cell
# energy above the most stable polymorph in this dataset = 710 meV/atom
data_TcRhBr2
_chemical_formula_sum 'Tc4 Rh4 Br8'
_symmetry_space_group_name_H-M 'I -4 2 d'
_symmetry_Int_Tables_number 122
_symmetry_space_group_name_Hall 'I -4 2bw'
_cell_length_a 5.552
_cell_length_b 5.552
_cell_length_c 11.946
_cell_angle_alpha 90.00
_cell_angle_beta 90.00
_cell_angle_gamma 90.00
loop_
_atom_site_label
_atom_site_fract_x
_atom_site_fract_y
_atom_site_fract_z
Tc1 0.000 0.000 0.000
Rh1 0.000 0.000 0.500
Br1 0.242 0.250 0.125

***

Record 6
# Rb3PmY2Te6 GGA-PBE relaxed
# formation energy from raw total energies = -1.402 eV/atom
# calculated volume = 925 Å³ per cell
data_Rb3PmY2Te6
_chemical_formula_sum 'Rb6 Pm2 Y4 Te12'
_symmetry_space_group_name_H-M 'C 1 2/m 1'
_symmetry_Int_Tables_number 12
_symmetry_space_group_name_Hall '-C 2y'
_cell_length_a 7.898
_cell_length_b 13.680
_cell_length_c 8.953
_cell_angle_alpha 90.00
_cell_angle_beta 107.11
_cell_angle_gamma 90.00
loop_
_atom_site_label
_atom_site_fract_x
_atom_site_fract_y
_atom_site_fract_z
Rb1 0.000 0.000 0.000
Rb2 0.000 0.335 0.000
Pm1 0.000 0.500 0.500
Y1 0.000 0.167 0.500
Te1 0.228 0.000 0.701
Te2 0.236 0.331 0.701

***

Record 7
# NaLiHg2Pt GGA-PBE relaxed
# calculated volume = 134 Å³ per cell
# formation enthalpy at 0 K = -0.21 eV per atom
data_NaLiHg2Pt
_chemical_formula_sum 'Na1 Li1 Hg2 Pt1'
_symmetry_space_group_name_H-M 'P 4/m m m'
_symmetry_Int_Tables_number 123
_symmetry_space_group_name_Hall '-P 4 2'
_cell_length_a 5.320
_cell_length_b 5.320
_cell_length_c 4.730
_cell_angle_alpha 90.00
_cell_angle_beta 90.00
_cell_angle_gamma 90.00
loop_
_atom_site_label
_atom_site_fract_x
_atom_site_fract_y
_atom_site_fract_z
Na1 0.000 0.000 0.000
Li1 0.500 0.500 0.000
Hg1 0.000 0.500 0.500
Pt1 0.500 0.500 0.500

***

Record 8
# Th2Al6Fe9 GGA-PBE relaxed
# calculated volume = 283 Å³ per cell
# formation enthalpy at 0 K = -0.05 eV per atom
data_Th2Al6Fe9
_chemical_formula_sum 'Th2 Al6 Fe9'
_symmetry_space_group_name_H-M 'P 6/m m m'
_symmetry_Int_Tables_number 191
_symmetry_space_group_name_Hall '-P 6 2'
_cell_length_a 5.1591
_cell_length_b 5.1591
_cell_length_c 12.2637
_cell_angle_alpha 90.00
_cell_angle_beta 90.00
_cell_angle_gamma 120.00
loop_
_atom_site_label
_atom_site_fract_x
_atom_site_fract_y
_atom_site_fract_z
Th1 0.0000 0.0000 0.2009
Al1 0.3333 0.6667 0.1631
Al2 0.3333 0.6667 0.5000
Fe1 0.0000 0.5000 0.0000
Fe2 0.0000 0.5000 0.3305

***

Record 9
# SiTc2H GGA-PBE relaxed
# calculated volume = 181 Å³ per cell
# energy above the most stable polymorph in this dataset = 147 meV/atom
data_SiTc2H
_chemical_formula_sum 'Si4 Tc8 H4'
_symmetry_space_group_name_H-M 'I -4 2 d'
_symmetry_Int_Tables_number 122
_symmetry_space_group_name_Hall 'I -4 2bw'
_cell_length_a 5.879
_cell_length_b 5.879
_cell_length_c 5.242
_cell_angle_alpha 90.00
_cell_angle_beta 90.00
_cell_angle_gamma 90.00
loop_
_atom_site_label
_atom_site_fract_x
_atom_site_fract_y
_atom_site_fract_z
Si1 0.000 0.000 0.000
Tc1 0.163 0.250 0.625
H1 0.000 0.000 0.500

***

Record 10
# Ba2ZnTeO6 GGA-PBE relaxed
# formation energy from raw total energies = -1.945 eV/atom
# calculated volume = 564 Å³ per cell
data_Ba2ZnTeO6
_chemical_formula_sum 'Ba8 Zn4 Te4 O24'
_symmetry_space_group_name_H-M 'F m -3 m'
_symmetry_Int_Tables_number 225
_symmetry_space_group_name_Hall '-F 4 2 3'
_cell_length_a 8.261
_cell_length_b 8.261
_cell_length_c 8.261
_cell_angle_alpha 90.00
_cell_angle_beta 90.00
_cell_angle_gamma 90.00
loop_
_atom_site_label
_atom_site_fract_x
_atom_site_fract_y
_atom_site_fract_z
Ba1 0.250 0.250 0.250
Zn1 0.000 0.000 0.000
Te1 0.000 0.000 0.500
O1 0.000 0.000 0.262

***

Record 11
# In2HgOs2 GGA-PBE relaxed
# calculated volume = 211 Å³ per cell
# energy above the most stable polymorph in this dataset = 379 meV/atom
# formation enthalpy at 0 K = 0.88 eV per atom
data_In2HgOs2
_chemical_formula_sum 'In4 Hg2 Os4'
_symmetry_space_group_name_H-M 'I 4/m m m'
_symmetry_Int_Tables_number 139
_symmetry_space_group_name_Hall '-I 4 2'
_cell_length_a 4.218
_cell_length_b 4.218
_cell_length_c 11.836
_cell_angle_alpha 90.00
_cell_angle_beta 90.00
_cell_angle_gamma 90.00
loop_
_atom_site_label
_atom_site_fract_x
_atom_site_fract_y
_atom_site_fract_z
In1 0.000 0.500 0.250
Hg1 0.000 0.000 0.000
Os1 0.000 0.000 0.400

***

Record 12
# La2TbHo5Sc GGA-PBE relaxed
# calculated volume = 1160 Å³ per cell
# formation enthalpy at 0 K = 0.15 eV per atom
data_La2TbHo5Sc
_chemical_formula_sum 'La8 Tb4 Ho20 Sc4'
_symmetry_space_group_name_H-M 'C m c 21'
_symmetry_Int_Tables_number 36
_symmetry_space_group_name_Hall 'C 2c -2'
_cell_length_a 5.582
_cell_length_b 19.861
_cell_length_c 10.466
_cell_angle_alpha 90.00
_cell_angle_beta 90.00
_cell_angle_gamma 90.00
loop_
_atom_site_label
_atom_site_fract_x
_atom_site_fract_y
_atom_site_fract_z
La1 0.000 0.114 0.000
La2 0.000 0.116 0.420
Tb1 0.000 0.409 0.148
Ho1 0.000 0.016 0.704
Ho2 0.000 0.276 0.006
Ho3 0.000 0.297 0.388
Ho4 0.000 0.375 0.705
Ho5 0.000 0.483 0.427
Sc1 0.000 0.198 0.700